Record 1
ZrAg2Sb | GGA-PBE | relaxed

Lattice parameters (Å, degrees): 3.1836 3.1836 29.7584 90.00 90.00 120.00
With the nearest neighbours (Å) after each atom.
Space group R-3m (No. 166, hexagonal axes)
Asymmetric unit:
Zr 0.0000 0.0000 0.0000 [3 per cell]  6 Ag 3.06, 6 Zr 3.18
Ag 0.0000 0.0000 0.2512 [6 per cell]  3 Zr 3.06, 3 Sb 3.12, 6 Ag 3.18
Sb 0.0000 0.0000 0.5000 [3 per cell]  6 Ag 3.12, 6 Sb 3.18

Summary:
Raw formation energy in meV/atom: 149
Mass density in g cm⁻³: 8.2
Magnetization in μB/atom: 0.023
N(E_F) in states/eV/atom: 1.44
Energy in eV/atom: -4.44



Record 2
Ce2TmIr | GGA-PBE | relaxed

Lattice parameters (Å, degrees): 3.7039 3.7039 30.2431 90.00 90.00 120.00
With the nearest neighbours (Å) after each atom.
Space group R-3m (No. 166, hexagonal axes)
Asymmetric unit:
Ce 0.0000 0.0000 0.1077 [6 per cell]  3 Ir 2.78
Tm 0.0000 0.0000 0.0000 [3 per cell]  2 Ce 3.26
Ir 0.0000 0.0000 0.5000 [3 per cell]  6 Ce 2.78

Summary:
DFT formation energy in eV per atom: -0.05
Energy relative to the lowest polymorph listed for this composition in eV/atom: 0.236
Mass density in g cm⁻³: 8.9
Magnetization in μB/atom: 0.387
N(E_F) in states/eV/atom: 2.84
Energy in eV/atom: -6.35



Record 3
Sc12Ag3Ir5 | GGA-PBE | relaxed

Lattice parameters (Å, degrees): 15.8705 15.8705 15.8705 90.00 90.00 90.00
With the nearest neighbours (Å) after each atom.
Space group Ia-3d (No. 230)
Asymmetric unit:
Sc 0.0262 0.0641 0.6477 [96 per cell]  2 Ir 2.48-2.59
Ag 0.0000 0.2500 0.1250 [24 per cell]  8 Sc 3.00-3.07
Ir 0.0000 0.0000 0.0000 [16 per cell]  6 Sc 2.59
Ir 0.0000 0.2500 0.3750 [24 per cell]  4 Sc 2.48

Summary:
DFT formation energy in eV per atom: -0.13
Mass density in g cm⁻³: 6.1
Magnetization in μB/atom: 0.000
N(E_F) in states/eV/atom: 0.74
Energy in eV/atom: -6.58